Record 1
A plane-wave DFT calculation with PBE was carried out for a geometry-optimized Pr4In structure.

Lattice parameters (Å, degrees): 9.5690 9.5690 9.5690 147.00 136.93 55.30
Closest atoms and distances in Å follow each position.
Fractional positions:
Pr  0.0000  0.0000  0.0000  8 Pr 3.39-3.65, 4 In 3.74
Pr  0.1498  0.3998  0.7500  3 In 3.52-3.57, 10 Pr 3.65-3.86
Pr  0.2128  0.1997  0.0132  4 Pr 3.21-3.39, 2 In 3.53
Pr  0.3135  0.8003  0.5132  4 Pr 3.21-3.39, 2 In 3.53
Pr  0.5000  0.0000  0.5000  8 Pr 3.39-3.65, 4 In 3.74
Pr  0.6865  0.1997  0.4868  4 Pr 3.21-3.39, 2 In 3.53
Pr  0.7872  0.8003  0.9868  4 Pr 3.21-3.39, 2 In 3.53
Pr  0.8502  0.6002  0.2500  3 In 3.52-3.57, 10 Pr 3.65-3.86
In  0.3604  0.6104  0.7500  13 Pr 3.52-3.74
In  0.6396  0.3896  0.2500  13 Pr 3.52-3.74

Values from the calculation:
Distance to the lowest polymorph of the same formula   1.7 kJ per mole of atoms
Density of states at the Fermi level   1.26 states/eV per atom
Formation energy from the elements   -0.144 eV per atom



Record 2
A plane-wave DFT calculation with PBE was carried out for a geometry-optimized BaTcPt2 structure.

Lattice parameters (Å, degrees): 4.5027 4.5027 17.3411 90.00 90.00 120.00
Closest atoms and distances in Å follow each position.
Fractional positions:
Ba  0.0000  0.0000  0.0000  1 Tc 3.19, 1 Pt 3.28
Ba  0.3333  0.6667  0.6667  1 Tc 3.19, 1 Pt 3.28
Ba  0.6667  0.3333  0.3333  1 Tc 3.19, 1 Pt 3.28
Tc  0.0000  0.0000  0.1840  6 Pt 2.60-2.69
Tc  0.3333  0.6667  0.8506  6 Pt 2.60-2.69
Tc  0.6667  0.3333  0.5173  6 Pt 2.60-2.69
Pt  0.0000  0.0000  0.5162  3 Tc 2.60, 3 Pt 2.68
Pt  0.0000  0.0000  0.8109  3 Pt 2.68, 3 Tc 2.69
Pt  0.3333  0.6667  0.1828  3 Tc 2.60, 3 Pt 2.68
Pt  0.3333  0.6667  0.4775  3 Pt 2.68, 3 Tc 2.69
Pt  0.6667  0.3333  0.1442  3 Pt 2.68, 3 Tc 2.69
Pt  0.6667  0.3333  0.8495  3 Tc 2.60, 3 Pt 2.68

Values from the calculation:
Distance to the lowest polymorph of the same formula   4.5 kJ per mole of atoms
Density of states at the Fermi level   0.79 states/eV per atom
Formation energy from the elements   -0.161 eV per atom



Record 3
A plane-wave DFT calculation with PBE was carried out for a geometry-optimized Ho5MgSe6 structure.

Lattice parameters (Å, degrees): 7.0144 7.0144 6.9661 99.59 99.59 120.35
Closest atoms and distances in Å follow each position.
Fractional positions:
Ho  0.0000  0.0000  0.0000  6 Se 2.85-2.96
Ho  0.1673  0.8327  0.5000  6 Se 2.86-2.88
Ho  0.3283  0.6717  0.0000  6 Se 2.84-2.93
Ho  0.6717  0.3283  0.0000  6 Se 2.84-2.93
Ho  0.8327  0.1673  0.5000  6 Se 2.86-2.88
Mg  0.5000  0.5000  0.5000  6 Se 2.74
Se  0.1006  0.4196  0.2583  1 Mg 2.74, 5 Ho 2.84-2.93
Se  0.2630  0.2630  0.7435  1 Mg 2.74, 5 Ho 2.88-2.96
Se  0.4196  0.1006  0.2583  1 Mg 2.74, 5 Ho 2.84-2.93
Se  0.5804  0.8994  0.7417  1 Mg 2.74, 5 Ho 2.84-2.93
Se  0.7370  0.7370  0.2565  1 Mg 2.74, 5 Ho 2.88-2.96
Se  0.8994  0.5804  0.7417  1 Mg 2.74, 5 Ho 2.84-2.93

Values from the calculation:
Density of states at the Fermi level   0.40 states/eV per atom



Record 4
A plane-wave DFT calculation with PBE was carried out for a geometry-optimized SrHg3Pd structure.

Lattice parameters (Å, degrees): 5.2720 5.2720 5.2720 90.00 90.00 90.00
Closest atoms and distances in Å follow each position.
Fractional positions:
Sr  0.0000  0.0000  0.0000  12 Hg 3.73
Hg  0.0000  0.5000  0.5000  2 Pd 2.64
Hg  0.5000  0.0000  0.5000  2 Pd 2.64
Hg  0.5000  0.5000  0.0000  2 Pd 2.64
Pd  0.5000  0.5000  0.5000  6 Hg 2.64

Values from the calculation:
Distance to the lowest polymorph of the same formula   11.3 kJ per mole of atoms
Density of states at the Fermi level   0.54 states/eV per atom
Formation energy from the elements   -0.266 eV per atom



| no. | E_tot (eV per cell) |
| --- | --- |
| 1 | -45.1 |
| 2 | -75.0 |
| 3 | -64.8 |
| 4 | -9.1 |